(1)
This record from OQMD describes HoFeGe2Pd after structural relaxation. The functional is PBE-GGA.

## Properties
Crystal system ... tetragonal
Uncorrected energy ... -6.05 eV per atom

Unit cell a=4.1875 b=4.1875 c=10.0587 alpha=90.00 beta=90.00 gamma=90.00
Space group I-4m2 (No. 119)
Asymmetric unit:
Ho1 0.0000 0.0000 0.0000 x2
Fe1 0.0000 0.5000 0.7500 x2
Ge1 0.0000 0.0000 0.3760 x4
Pd1 0.0000 0.5000 0.2500 x2



(2)
This record from OQMD describes TbHoFe2Ge4 after structural relaxation. The functional is PBE-GGA.

## Properties
Crystal system ... orthorhombic
Uncorrected energy ... -6.01 eV per atom

Unit cell a=4.1813 b=4.1451 c=16.6251 alpha=90.00 beta=90.00 gamma=90.00
Space group Amm2 (No. 38)
Asymmetric unit:
Tb1 0.0000 0.0000 0.0000 x2
Ho1 0.5000 0.0000 0.7817 x2
Fe1 0.0000 0.0000 0.2103 x2
Fe2 0.5000 0.0000 0.5718 x2
Ge1 0.0000 0.0000 0.3458 x2
Ge2 0.0000 0.0000 0.6407 x2
Ge3 0.5000 0.0000 0.1416 x2
Ge4 0.5000 0.0000 0.4359 x2



(3)
This record from OQMD describes InFe6Ge after structural relaxation. The functional is PBE-GGA.

## Properties
Crystal system ... tetragonal
Uncorrected energy ... -7.11 eV per atom

Unit cell a=4.1606 b=4.1606 c=5.8912 alpha=90.00 beta=90.00 gamma=90.00
Space group P4/mmm (No. 123)
Asymmetric unit:
In1 0.0000 0.0000 0.0000 x1
Fe1 0.0000 0.0000 0.5000 x1
Fe2 0.0000 0.5000 0.2704 x4
Fe3 0.5000 0.5000 0.0000 x1
Ge1 0.5000 0.5000 0.5000 x1



(4)
This record from OQMD describes InFeGe after structural relaxation. The functional is PBE-GGA.

## Properties
Crystal system ... trigonal
Uncorrected energy ... -4.93 eV per atom

Unit cell a=3.8857 b=3.8857 c=25.8271 alpha=90.00 beta=90.00 gamma=120.00
Space group R-3m (No. 166, hexagonal axes)
Asymmetric unit:
In1 0.0000 0.0000 0.1222 x6
Fe1 0.0000 0.0000 0.3942 x6
Ge1 0.0000 0.0000 0.3001 x6